# 1
Density functional theory data (GGA-PBE) for a relaxed structure of Pm4Sm5.

Calculated values
The formation energy comes out at 0.013 eV per atom. Its crystal system is tetragonal. Its volume is 34.0 A^3/atom. The calculation puts the total magnetization at 0.0 μB per formula unit. The value obtained for the total energy is -0.17345 hartree per atom.

Unit cell a=5.1448 b=8.1353 c=8.1353 alpha=84.26 beta=71.56 gamma=71.56
With the nearest neighbours (Å) after each atom.
Atoms (fractional coordinates):
Pm: 0.6667 0.3333 0.3333  4 Pm 3.64, 8 Sm 3.64
Pm: 0.6667 0.6666 0.0000  4 Pm 3.64, 8 Sm 3.64
Pm: 0.3333 0.0000 0.3334  4 Pm 3.64, 8 Sm 3.64
Pm: 0.3333 0.6667 0.6667  4 Pm 3.64, 8 Sm 3.64
Sm: 0.6664 0.0002 0.6669  6 Sm 3.63-3.64, 6 Pm 3.64
Sm: 0.0000 0.3331 0.6669  6 Sm 3.63-3.64, 6 Pm 3.64
Sm: 0.3336 0.3331 0.9998  6 Sm 3.63-3.64, 6 Pm 3.64
Sm: 0.0000 0.0003 0.9997  6 Sm 3.63-3.64, 6 Pm 3.64
Sm: 0.0000 0.6667 0.3333  8 Pm 3.64, 4 Sm 3.64



# 2
Density functional theory data (GGA-PBE) for a relaxed structure of Pm7Sm2.

Calculated values
The formation energy comes out at 0.013 eV per atom. Its crystal system is trigonal. Its volume is 34.2 A^3/atom. The calculation puts the total magnetization at 0.0 μB per formula unit. The value obtained for the total energy is -0.17386 hartree per atom.

Unit cell a=6.3197 b=6.3197 c=8.9071 alpha=90.00 beta=90.00 gamma=120.00
With the nearest neighbours (Å) after each atom.
Atoms (fractional coordinates):
Pm: 0.0000 0.0000 0.0000  6 Pm 3.64, 6 Sm 3.65
Pm: 0.0000 0.6667 0.3328  2 Sm 3.64, 10 Pm 3.64-3.65
Pm: 0.6667 0.6667 0.6672  2 Sm 3.64, 10 Pm 3.64-3.65
Pm: 0.3333 0.3333 0.3328  2 Sm 3.64, 10 Pm 3.64-3.65
Pm: 0.3333 0.0000 0.6672  2 Sm 3.64, 10 Pm 3.64-3.65
Pm: 0.0000 0.3333 0.6672  2 Sm 3.64, 10 Pm 3.64-3.65
Pm: 0.6667 0.0000 0.3328  2 Sm 3.64, 10 Pm 3.64-3.65
Sm: 0.6667 0.3333 0.0000  9 Pm 3.64-3.65, 3 Sm 3.65
Sm: 0.3333 0.6667 0.0000  9 Pm 3.64-3.65, 3 Sm 3.65



# 3
Density functional theory data (GGA-PBE) for a relaxed structure of Pm6Sm5.

Calculated values
The formation energy comes out at 0.133 eV per atom. Its crystal system is monoclinic. Its volume is 34.7 A^3/atom. The calculation puts the total magnetization at 0.0 μB per formula unit. The value obtained for the total energy is -0.16917 hartree per atom.

Unit cell a=9.3946 b=8.1509 c=6.4342 alpha=79.39 beta=71.37 gamma=54.81
With the nearest neighbours (Å) after each atom.
Atoms (fractional coordinates):
Pm: 0.3122 0.7333 0.8336  3 Pm 3.36-3.59, 5 Sm 3.43-3.60
Pm: 0.9544 0.7333 0.1664  3 Pm 3.36-3.59, 5 Sm 3.43-3.60
Pm: 0.1717 0.0000 0.3216  3 Pm 3.31-3.59, 5 Sm 3.55-3.62
Pm: 0.0456 0.2667 0.8336  3 Pm 3.36-3.59, 5 Sm 3.43-3.60
Pm: 0.6878 0.2667 0.1664  3 Pm 3.36-3.59, 5 Sm 3.43-3.60
Pm: 0.8283 0.0000 0.6784  3 Pm 3.31-3.59, 5 Sm 3.55-3.62
Sm: 0.2405 0.5191 0.5000  6 Pm 3.43-3.61, 3 Sm 3.46-3.66
Sm: 0.3719 0.2561 0.0000  5 Sm 3.41-3.66, 6 Pm 3.51-3.60
Sm: 0.5000 0.0000 0.5000  6 Sm 3.46-3.64, 6 Pm 3.57-3.62
Sm: 0.6281 0.7439 0.0000  5 Sm 3.41-3.66, 6 Pm 3.51-3.60
Sm: 0.7595 0.4809 0.5000  6 Pm 3.43-3.61, 3 Sm 3.46-3.66



# 4
Density functional theory data (GGA-PBE) for a relaxed structure of PmSm3.

Calculated values
The formation energy comes out at 0.016 eV per atom. Its crystal system is cubic. Its volume is 33.8 A^3/atom. The calculation puts the total magnetization at 0.0 μB per formula unit. The value obtained for the total energy is -0.17311 hartree per atom. The calculation puts the energy above the most stable polymorph in this dataset at 4 meV/atom.

Unit cell a=5.1340 b=5.1340 c=5.1340 alpha=90.00 beta=90.00 gamma=90.00
With the nearest neighbours (Å) after each atom.
Atoms (fractional coordinates):
Sm: 0.0000 0.5000 0.5000  8 Sm 3.63, 4 Pm 3.63
Sm: 0.5000 0.0000 0.5000  8 Sm 3.63, 4 Pm 3.63
Sm: 0.5000 0.5000 0.0000  8 Sm 3.63, 4 Pm 3.63
Pm: 0.0000 0.0000 0.0000  12 Sm 3.63



total magnetization of number 3 (Pm6Sm5)?
0.0 μB per formula unit



Among the records above, which one has the highest volume?
Pm6Sm5



Look up the volume of the fourth one.
33.8 A^3/atom



The highest volume belongs to which entry?
Pm6Sm5